No. 1
Below is a geometry-optimized CoHgAsBr2 structure, with properties calculated at the PBE level. Values from VASP.

Quantum ESPRESSO input file:
```
&SYSTEM
  ibrav = 0, nat = 5, ntyp = 4
/
ATOMIC_SPECIES
As 74.92 As.upf
Co 58.93 Co.upf
Hg 200.59 Hg.upf
Br 79.90 Br.upf
CELL_PARAMETERS angstrom
5.139 0.000 0.000
0.000 5.139 0.000
0.000 0.000 4.491
ATOMIC_POSITIONS crystal
As 0.000 0.000 0.500
Co 0.000 0.000 0.000
Hg 0.500 0.500 0.500
Br 0.000 0.500 0.000
Br 0.500 0.000 0.000
```

Properties
Offset from the most stable computed form: 0.00 eV per formula unit


No. 2
Below is a geometry-optimized CoAsIBr2 structure, with properties calculated at the PBE level. Values from VASP.

Quantum ESPRESSO input file:
```
&SYSTEM
  ibrav = 0, nat = 5, ntyp = 4
/
ATOMIC_SPECIES
I 126.90 I.upf
As 74.92 As.upf
Co 58.93 Co.upf
Br 79.90 Br.upf
CELL_PARAMETERS angstrom
4.881 0.000 0.000
0.000 4.881 0.000
0.000 0.000 4.942
ATOMIC_POSITIONS crystal
I 0.500 0.500 0.500
As 0.000 0.000 0.500
Co 0.000 0.000 0.000
Br 0.000 0.500 0.000
Br 0.500 0.000 0.000
```

Properties
Offset from the most stable computed form: 0.00 eV per formula unit


No. 3
Below is a geometry-optimized InCoAs2Br structure, with properties calculated at the PBE level. Values from VASP.

Quantum ESPRESSO input file:
```
&SYSTEM
  ibrav = 0, nat = 5, ntyp = 4
/
ATOMIC_SPECIES
As 74.92 As.upf
Co 58.93 Co.upf
Br 79.90 Br.upf
In 114.82 In.upf
CELL_PARAMETERS angstrom
4.391 0.000 0.000
0.000 4.391 0.000
0.000 0.000 8.219
ATOMIC_POSITIONS crystal
As 0.000 0.500 0.000
As 0.500 0.000 0.000
Co 0.000 0.000 0.000
Br 0.000 0.000 0.500
In 0.500 0.500 0.500
```

Properties
Offset from the most stable computed form: 0.00 eV per formula unit